(1)
TcPt3Au (PBE-GGA, optimized geometry); space group = Pm-3m (221); crystal system = cubic; relative energy among the computed polymorphs = 0 meV per atom; total moment = 0.00 μB per formula unit
1.0
-4.1679 -0.7171 2.2418
1.2376 -4.5456 0.8470
2.0020 1.3172 4.1435
Pt Tc Au
3 1 1
Cartesian
-2.0840 -0.3586 1.1209
1.0010 0.6586 2.0717
0.6188 -2.2728 0.4235
0.0000 0.0000 0.0000
-0.4641 -1.9728 3.6161

=====

(2)
BaTb2Hg6 (PBE-GGA, optimized geometry); space group = C2/m (12); crystal system = monoclinic; total DFT energy (no corrections) = -1.83 eV/atom; total moment = 0.00 μB per formula unit
1.0
-3.4546 -0.0662 1.6311
-2.0841 -6.8916 -4.6938
5.4444 -1.0401 6.9785
Hg Tb Ba
6 2 1
Cartesian
2.3270 -5.6700 4.6632
-1.1606 -2.8667 1.8957
1.0663 -5.1313 2.0201
3.0231 -3.3680 6.2311
-2.4956 -7.2810 -1.1109
2.4013 -0.7169 5.0267
-0.2738 -4.7561 -0.7641
0.1795 -3.2418 4.6800
0.0000 0.0000 0.0000

=====

(3)
SrMoRh2 (PBE-GGA, optimized geometry); space group = P4mm (99); crystal system = tetragonal; relative energy among the computed polymorphs = 321 meV per atom; total moment = 0.00 μB per formula unit
1.0
-3.2656 0.5187 -0.6735
0.3983 -1.4285 -3.0311
-1.5854 -6.3601 2.7892
Sr Mo Rh
1 1 2
Cartesian
-0.7607 -3.0517 1.3383
-2.7733 -5.8291 0.5045
-1.7452 -1.7047 -1.3042
-1.5516 -6.2246 2.7298

=====

(4)
Sr2CaAgP (PBE-GGA, optimized geometry); space group = P4/mmm (123); crystal system = tetragonal; total DFT energy (no corrections) = -3.20 eV/atom; total moment = 0.00 μB per formula unit
1.0
-5.8179 -0.5469 -0.2759
-0.1826 -0.9667 5.7667
-0.5452 5.3559 0.8806
Ca Sr Ag P
1 2 1 1
Cartesian
-0.2726 2.6780 0.4403
-0.0913 -0.4834 2.8834
-2.9089 -0.2735 -0.1379
-3.2729 1.9211 3.1857
0.0000 0.0000 0.0000

=====

(5)
Ac6MgOs2 (PBE-GGA, optimized geometry); space group = Immm (71); crystal system = orthorhombic; total DFT energy (no corrections) = -5.46 eV/atom; total moment = 0.00 μB per formula unit
1.0
-0.9463 5.1893 7.6535
-7.1855 1.4085 -5.7258
0.0359 -9.1004 1.8927
Ac Os Mg
12 4 2
Cartesian
-2.9960 3.9210 3.3482
-2.6315 -3.7679 1.7956
-3.3420 -0.4881 -0.5186
-5.0999 -6.4235 0.4722
-5.9620 -0.8906 -3.3943
-0.9952 2.0293 6.3542
-6.3608 -2.6039 0.7875
-1.7351 0.1014 3.0329
-2.1339 -1.6119 7.2147
-7.1007 -4.5319 -2.5338
-4.7539 -2.0144 4.3390
-5.4644 1.2654 2.0248
-6.8340 0.3209 -0.5202
-5.5422 4.4968 1.3139
-1.2619 -2.8235 4.3406
-2.5536 -6.9993 2.5065
-3.5748 -3.8459 -1.9166
0.0000 0.0000 0.0000

=====

(6)
Nd2TmTc (PBE-GGA, optimized geometry); space group = R-3m (166); crystal system = trigonal; total DFT energy (no corrections) = -5.43 eV/atom; total moment = 0.00 μB per formula unit
1.0
3.4388 0.0000 0.0000
1.7194 2.9781 0.0000
1.7194 0.9927 10.9618
Nd Tc Tm
2 1 1
Cartesian
1.7194 0.9927 8.4222
5.1583 2.9781 2.5396
0.0000 0.0000 0.0000
3.4388 1.9854 5.4809

=====

(7)
PmHfS2 (PBE-GGA, optimized geometry); formation energy from raw total energies = -1.557 eV per atom; space group = R3m (160); crystal system = trigonal; relative energy among the computed polymorphs = 22 meV per atom; total moment = 0.00 μB per formula unit
1.0
3.7414 0.0000 0.0000
1.8707 3.2401 0.0000
1.8707 1.0800 6.6609
Hf S Pm
1 2 1
Cartesian
5.6120 3.2401 6.5753
1.8707 1.0800 1.4575
1.8707 1.0800 5.1901
3.7414 2.1601 3.4294